#one
AlGe3Ir, optimized geometry, DFT PBE; V = 112.9 Å³/f.u.; M_tot = 0.00 μB per formula unit
1.0
-0.440 2.117 -4.323
2.846 -3.387 -1.949
-3.882 -2.722 -0.938
Al Ge Ir
1 3 1
Direct
0.500 0.500 0.500 Al
0.000 0.000 0.500 Ge
0.000 0.500 0.000 Ge
0.500 0.000 0.000 Ge
0.000 0.000 0.000 Ir

***

#two
AlGe3Ir, optimized geometry, DFT PBE; V = 104.8 Å³/f.u.; M_tot = 0.00 μB per formula unit
1.0
4.715 0.000 0.000
0.000 4.715 0.000
0.000 0.000 4.715
Ge Al Ir
3 1 1
Direct
0.000 0.000 0.500 Ge
0.500 0.000 0.000 Ge
0.000 0.500 0.000 Ge
0.000 0.000 0.000 Al
0.500 0.500 0.500 Ir

***

#one is favored, and the nearest alternative lies 687 meV/atom above it.

***

#one
Al2Ge2Ir, optimized geometry, DFT PBE; V = 87.4 Å³/f.u.; M_tot = 0.00 μB per formula unit
1.0
3.409 0.000 0.000
0.000 3.409 0.000
1.705 1.705 7.522
Al Ge Ir
2 2 1
Direct
0.588 0.588 0.824 Al
0.412 0.412 0.176 Al
0.250 0.750 0.500 Ge
0.750 0.250 0.500 Ge
0.000 0.000 0.000 Ir

***

#two
Al2Ge2Ir, optimized geometry, DFT PBE; V = 85.6 Å³/f.u.; M_tot = 0.00 μB per formula unit
1.0
-4.862 -2.259 3.442
4.101 -2.188 4.357
-0.240 3.669 2.069
Al Ge Ir
4 4 2
Direct
0.173 0.673 0.500 Al
0.327 0.173 0.500 Al
0.673 0.827 0.500 Al
0.827 0.327 0.500 Al
0.139 0.361 0.000 Ge
0.639 0.139 0.000 Ge
0.861 0.639 0.000 Ge
0.361 0.861 0.000 Ge
0.000 0.000 0.000 Ir
0.500 0.500 0.000 Ir

***

#two is favored, and the nearest alternative lies 169 meV/atom above it.

***

#one
La6Al2Ge, optimized geometry, DFT PBE; V = 276.4 Å³/f.u.; M_tot = 0.00 μB per formula unit
1.0
-0.537 -1.564 -4.169
-2.795 -7.327 3.109
-5.440 6.236 -1.639
Al Ge La
2 1 6
Direct
0.000 0.667 0.333 Al
0.000 0.333 0.667 Al
0.500 0.000 0.000 Ge
0.500 0.404 0.404 La
0.500 0.000 0.596 La
0.000 0.735 0.735 La
0.000 0.000 0.265 La
0.500 0.596 0.000 La
0.000 0.265 0.000 La

***

#two
La6Al2Ge, optimized geometry, DFT PBE; V = 340.0 Å³/f.u.; M_tot = 0.00 μB per formula unit
1.0
-7.303 -2.355 -1.146
1.383 -0.585 -7.612
3.239 -10.730 1.413
La Al Ge
12 4 2
Direct
0.787 0.213 0.833 La
0.732 0.732 0.000 La
0.268 0.268 0.000 La
0.213 0.787 0.833 La
0.787 0.213 0.167 La
0.287 0.287 0.667 La
0.287 0.287 0.333 La
0.768 0.232 0.500 La
0.213 0.787 0.167 La
0.713 0.713 0.333 La
0.232 0.768 0.500 La
0.713 0.713 0.667 La
0.500 0.500 0.141 Al
0.000 0.000 0.641 Al
0.500 0.500 0.859 Al
0.000 0.000 0.359 Al
0.000 0.000 0.000 Ge
0.500 0.500 0.500 Ge

***

#one is favored, and the nearest alternative lies 297 meV/atom above it.

***

#one
LaPrAlGe, optimized geometry, DFT PBE; V = 110.0 Å³/f.u.; M_tot = 0.09 μB per formula unit
1.0
-3.864 -0.734 -2.326
-1.738 -1.640 3.405
0.010 5.602 2.703
Ge Al La Pr
1 1 1 1
Direct
0.571 0.500 0.141 Ge
0.431 0.000 0.861 Al
0.142 0.000 0.283 La
0.857 0.500 0.715 Pr

***

#two
LaPrAlGe, optimized geometry, DFT PBE; V = 106.6 Å³/f.u.; M_tot = 0.00 μB per formula unit
1.0
-0.590 5.283 0.264
-0.609 2.377 4.723
3.909 3.018 1.984
La Al Ge Pr
1 1 1 1
Direct
0.750 0.750 0.750 La
0.500 0.500 0.500 Al
0.000 0.000 0.000 Ge
0.250 0.250 0.250 Pr

***

#one is favored, and the nearest alternative lies 207 meV/atom above it.

***

#one
LaSmAlGe, optimized geometry, DFT PBE; V = 106.8 Å³/f.u.; M_tot = 0.18 μB per formula unit
1.0
4.516 0.000 0.000
0.000 4.130 0.000
-2.258 0.000 5.728
Sm La Al Ge
1 1 1 1
Direct
0.138 0.000 0.277 Sm
0.855 0.500 0.710 La
0.433 0.000 0.865 Al
0.574 0.500 0.148 Ge

***

#two
LaSmAlGe, optimized geometry, DFT PBE; V = 103.6 Å³/f.u.; M_tot = 0.00 μB per formula unit
1.0
-1.552 2.771 -4.208
-4.866 -0.636 -1.927
-3.572 3.839 0.543
Sm Ge Al La
1 1 1 1
Direct
0.250 0.250 0.250 Sm
0.000 0.000 0.000 Ge
0.500 0.500 0.500 Al
0.750 0.750 0.750 La

***

#one is favored, and the nearest alternative lies 197 meV/atom above it.

***

#one
Li2Al2Ge, optimized geometry, DFT PBE; V = 90.5 Å³/f.u.; M_tot = 0.00 μB per formula unit
1.0
-1.206 2.158 2.705
-2.842 -2.252 0.530
1.607 -3.583 6.056
Al Ge Li
2 1 2
Direct
0.594 0.594 0.812 Al
0.406 0.406 0.188 Al
0.000 0.000 0.000 Ge
0.750 0.250 0.500 Li
0.250 0.750 0.500 Li

***

#two
Li2Al2Ge, optimized geometry, DFT PBE; V = 85.1 Å³/f.u.; M_tot = 0.00 μB per formula unit
1.0
7.623 0.000 0.000
0.000 7.623 0.000
0.000 0.000 2.927
Li Al Ge
4 4 2
Direct
0.325 0.175 0.500 Li
0.675 0.825 0.500 Li
0.825 0.325 0.500 Li
0.175 0.675 0.500 Li
0.876 0.624 0.000 Al
0.624 0.124 0.000 Al
0.376 0.876 0.000 Al
0.124 0.376 0.000 Al
0.000 0.000 0.000 Ge
0.500 0.500 0.000 Ge

***

#two is favored, and the nearest alternative lies 60 meV/atom above it.

***

#one
MgAl3Ge, optimized geometry, DFT PBE; V = 127.7 Å³/f.u.; M_tot = 0.00 μB per formula unit
1.0
5.035 0.000 0.000
0.000 5.035 0.000
0.000 0.000 5.035
Al Mg Ge
3 1 1
Direct
0.000 0.000 0.500 Al
0.500 0.000 0.000 Al
0.000 0.500 0.000 Al
0.000 0.000 0.000 Mg
0.500 0.500 0.500 Ge

***

#two
MgAl3Ge, optimized geometry, DFT PBE; V = 121.4 Å³/f.u.; M_tot = 0.00 μB per formula unit
1.0
-3.069 3.623 -1.403
-0.550 -2.175 -4.413
-3.846 -2.580 1.751
Al Ge Mg
3 1 1
Direct
0.000 0.500 0.000 Al
0.500 0.000 0.000 Al
0.000 0.000 0.500 Al
0.000 0.000 0.000 Ge
0.500 0.500 0.500 Mg

***

#two is favored, and the nearest alternative lies 413 meV/atom above it.

***

#one
AlGe3Mo, optimized geometry, DFT PBE; V = 118.1 Å³/f.u.; M_tot = 0.00 μB per formula unit
1.0
-0.571 -4.738 1.142
0.941 -1.235 -4.654
4.782 -0.322 1.053
Ge Mo Al
3 1 1
Direct
0.000 0.000 0.500 Ge
0.500 0.000 0.000 Ge
0.000 0.500 0.000 Ge
0.000 0.000 0.000 Mo
0.500 0.500 0.500 Al

***

#two
AlGe3Mo, optimized geometry, DFT PBE; V = 106.6 Å³/f.u.; M_tot = 0.43 μB per formula unit
1.0
-2.412 3.296 -2.408
1.058 -2.196 -4.066
-3.942 -2.606 0.382
Al Ge Mo
1 3 1
Direct
0.000 0.000 0.000 Al
0.500 0.000 0.000 Ge
0.000 0.500 0.000 Ge
0.000 0.000 0.500 Ge
0.500 0.500 0.500 Mo

***

#one is favored, and the nearest alternative lies 854 meV/atom above it.